This record from Alexandria via LeMat-Bulk describes crystalline LiAlC at its relaxed geometry. The functional is GGA-PBE.

Geometry as POSCAR:
```
LiAlC
1.0
-2.040 -3.370 -1.757
2.644 -2.758 2.220
-3.095 -0.739 2.768
Al C Li
2 2 2
Cartesian
-0.817 -3.945 0.470
-1.674 -2.922 2.761
0.417 -0.435 0.350
2.226 -2.322 1.870
-1.548 -0.370 1.384
-1.020 -1.685 -0.879
```

space-group type	P2/m, No. 10
formation energy from the elements	0.45	eV/f.u.
M_tot	0.00	μB per cell
raw total energy	-4.81	eV/atom